[1]
# ZrPtBr3

A PBEsol-optimized structure of ZrPtBr3 (SCAN, Alexandria via LeMat-Bulk).

Calculated values
- formation energy without anion corrections (eV/atom) = 0.211

a b c (Å): 5.033 5.033 5.033
angles (deg): 90.00 90.00 90.00
Space group Pm-3m (No. 221)
Inequivalent atoms, fractional coordinates:
Zr (0.000, 0.000, 0.000) [1 per cell]
Pt (0.500, 0.500, 0.500) [1 per cell]
Br (0.000, 0.500, 0.500) [3 per cell]

=====

[2]
# ZrPtBr2

A PBEsol-optimized structure of ZrPtBr2 (SCAN, Alexandria via LeMat-Bulk).

Calculated values
- formation energy without anion corrections (eV/atom) = -1.109
- polymorph energy (0 for the lowest one) (meV/atom) = 0

a b c (Å): 3.7597 3.7597 24.7838
angles (deg): 90.00 90.00 120.00
Space group R3m (No. 160, hexagonal axes)
Inequivalent atoms, fractional coordinates:
Zr (0.0000, 0.0000, 0.0000) [3 per cell]
Pt (0.0000, 0.0000, 0.2767) [3 per cell]
Br (0.0000, 0.0000, 0.5399) [3 per cell]
Br (0.0000, 0.0000, 0.7423) [3 per cell]

=====

[3]
# Zr2PtBr

A PBEsol-optimized structure of Zr2PtBr (SCAN, Alexandria via LeMat-Bulk).

Calculated values
- formation energy without anion corrections (eV/atom) = -0.363
- polymorph energy (0 for the lowest one) (meV/atom) = 417

a b c (Å): 3.869 3.869 10.406
angles (deg): 90.00 90.00 90.00
Space group I-4m2 (No. 119)
Inequivalent atoms, fractional coordinates:
Zr (0.000, 0.000, 0.000) [2 per cell]
Zr (0.000, 0.500, 0.250) [2 per cell]
Pt (0.000, 0.500, 0.750) [2 per cell]
Br (0.000, 0.000, 0.500) [2 per cell]